VASP calculation (GGA-PBE) on TmTh2Fe after structural relaxation.

Lattice parameters (Å, degrees): 3.768 3.768 9.190 78.17 78.17 60.00
Element x y z (fractional)
Th1 0.274 0.274 0.177
Fe1 0.000 0.000 0.000
Tm1 0.500 0.500 0.500
Th2 0.726 0.726 0.823

As for the formation energy: 0.1 eV per formula unit. The mass density comes out at 10.419 g/cm³. As for the size of the total moment: 0.0000 μB per atom. As for the density of states at the Fermi level: 4.5 states/eV per cell. As for the space-group type: R-3m (166). The calculation puts the energy above the most stable polymorph in this dataset at 100 meV/atom.